Record 1
Here is a relaxed LuHfCdHg crystal from Alexandria via LeMat-Bulk. Energies are from PBE.

Geometry as extended XYZ:
```
4
Lattice="-0.442 4.535 2.171 -4.575 1.938 0.888 -1.706 0.376 4.735" Properties=species:S:1:pos:R:3 pbc="T T T"
Hg 0.000 0.000 0.000
Cd -3.362 3.424 3.897
Hf -5.042 5.136 5.845
Lu -1.681 1.712 1.948
```

## Properties
Total DFT energy (no corrections) (eV per atom): -4.03
ΔE_f (eV/atom): -0.105

=====

Record 2
Here is a relaxed HfMgCdHg crystal from Alexandria via LeMat-Bulk. Energies are from PBE.

Geometry as extended XYZ:
```
4
Lattice="-1.188 -1.628 -4.484 -2.974 -3.883 -0.497 -4.571 0.607 -1.704" Properties=species:S:1:pos:R:3 pbc="T T T"
Hg -4.366 -2.452 -3.342
Hf -2.183 -1.226 -1.671
Mg -6.550 -3.678 -5.013
Cd 0.000 0.000 0.000
```

## Properties
Total DFT energy (no corrections) (eV per atom): -3.22
ΔE_f (eV/atom): -0.029